Entry 1:
The following is a GGA-PBE calculation of crystalline BeBr at its relaxed geometry, from Alexandria via LeMat-Bulk.

```
BeBr
1.0
16.5512 0.0000 0.0000
0.0000 3.4149 0.0000
0.0000 0.0000 5.2568
Be Br
6 6
direct
0.9371 0.2388 0.6552
0.5629 0.7612 0.1552
0.0629 0.2388 0.6552
0.4371 0.7612 0.1552
0.0000 0.7386 0.4494
0.5000 0.2614 0.9494
0.6547 0.2605 0.0986
0.8453 0.7395 0.5986
0.3453 0.2605 0.0986
0.1547 0.7395 0.5986
0.0000 0.2393 0.0449
0.5000 0.7607 0.5449
```

V ... 24.8 Å³ per atom
Symmetry ... Pmn2_1, No. 31
E_tot ... -34.9 eV for the cell shown
Formation energy (no corrections) ... -0.21 eV per atom

=====

Entry 2:
The following is a GGA-PBE calculation of crystalline Be7Br6 at its relaxed geometry, from Alexandria via LeMat-Bulk.

```
Be7Br6
1.0
17.1775 0.1065 0.0623
16.5569 4.5768 0.0623
16.5569 2.2986 3.9582
Be Br
7 6
direct
0.9163 0.4197 0.4197
0.4197 0.4197 0.9163
0.4197 0.9163 0.4197
0.0837 0.5803 0.5803
0.5803 0.0837 0.5803
0.5803 0.5803 0.0837
0.5000 0.5000 0.5000
0.9336 0.9336 0.9336
0.0664 0.0664 0.0664
0.8549 0.8549 0.8549
0.1451 0.1451 0.1451
0.6320 0.6320 0.6320
0.3680 0.3680 0.3680
```

V ... 23.0 Å³ per atom
Symmetry ... R-3m, No. 166
E_tot ... -32.2 eV for the cell shown
Formation energy (no corrections) ... 0.30 eV per atom

=====

Entry 3:
The following is a GGA-PBE calculation of crystalline Be5Br3 at its relaxed geometry, from Alexandria via LeMat-Bulk.

```
Be5Br3
1.0
-7.2873 2.1767 -5.3998
4.1315 -8.3169 -0.8724
-2.7859 -1.7062 3.0720
Be Br
10 6
direct
0.3333 0.6667 0.0000
0.6667 0.3333 0.5000
0.6667 0.3333 0.0000
0.3333 0.6667 0.5000
0.1285 0.0000 0.2500
0.8715 0.0000 0.7500
0.0000 0.1285 0.2500
0.8715 0.8715 0.2500
0.1285 0.1285 0.7500
0.0000 0.8715 0.7500
0.7108 0.0000 0.2500
0.2892 0.0000 0.7500
0.0000 0.7108 0.2500
0.2892 0.2892 0.2500
0.7108 0.7108 0.7500
0.0000 0.2892 0.7500
```

V ... 21.1 Å³ per atom
Symmetry ... P6_3/mcm, No. 193
E_tot ... -38.0 eV for the cell shown
Formation energy (no corrections) ... 0.58 eV per atom